Record 1
The following is a PBE calculation of a relaxed structure of BaTiIr3, from Alexandria via LeMat-Bulk.

a = 4.787 Å, b = 4.787 Å, c = 4.787 Å
α = 90.00°, β = 90.00°, γ = 90.00°
Element x y z (fractional)
Ir 0.000 0.000 0.500
Ba 0.500 0.500 0.500
Ir 0.000 0.500 0.000
Ti 0.000 0.000 0.000
Ir 0.500 0.000 0.000

Output
Final energy: -34.34 eV for the cell shown
Energy relative to the elements: 9.49 kcal/mol of atoms


Record 2
The following is a PBE calculation of a relaxed structure of LiGaPb2S4, from Alexandria via LeMat-Bulk.

a = 6.410 Å, b = 6.588 Å, c = 6.223 Å
α = 114.30°, β = 113.33°, γ = 103.18°
Element x y z (fractional)
S 0.693 0.607 0.769
S 0.076 0.162 0.771
Pb 0.440 0.940 0.880
S 0.391 0.836 0.262
S 0.874 0.429 0.265
Li 0.728 0.728 0.456
Ga 0.991 0.491 0.981
Pb 0.195 0.195 0.391

Output
Uncorrected formation energy: -0.68 eV per atom
Final energy: -34.33 eV for the cell shown


| no. | total moment (Bohr magnetons per cell) |
| --- | --- |
| 1 | 0.00 |
| 2 | 0.00 |